No. 1
A plane-wave DFT calculation with PBE was carried out for crystalline CdRu2Se at its relaxed geometry.

Cell and atoms, written as POSCAR:
```
CdRu2Se
1.0
-2.0384 2.0384 3.9984
2.0384 -2.0384 3.9984
2.0384 2.0384 -3.9984
Cd Ru Se
1 2 1
Direct
0.0000 0.0000 0.0000 Cd
0.2500 0.7500 0.5000 Ru
0.5000 0.5000 0.0000 Ru
0.7500 0.2500 0.5000 Se
```

Values from the calculation:
raw formation energy	602	meV/atom
M_tot	1.434	μB/f.u.
volume	16.6	Å³/atom
space-group type	I-4m2 (119)
relative energy among the computed polymorphs	0.4237	eV/atom

No. 2
A plane-wave DFT calculation with PBE was carried out for crystalline Pt3WCl at its relaxed geometry.

Cell and atoms, written as POSCAR:
```
Pt3WCl
1.0
4.5148 0.0000 0.0000
0.0000 4.5148 0.0000
0.0000 0.0000 4.5148
Pt W Cl
3 1 1
Direct
0.0000 0.0000 0.5000 Pt
0.0000 0.5000 0.0000 Pt
0.5000 0.0000 0.0000 Pt
0.5000 0.5000 0.5000 W
0.0000 0.0000 0.0000 Cl
```

Values from the calculation:
raw formation energy	1510	meV/atom
M_tot	3.002	μB/f.u.
volume	18.4	Å³/atom
space-group type	Pm-3m (221)
relative energy among the computed polymorphs	0.2565	eV/atom

No. 3
A plane-wave DFT calculation with PBE was carried out for crystalline Tb6Te3C2N at its relaxed geometry.

Cell and atoms, written as POSCAR:
```
Tb6Te3C2N
1.0
3.3157 -5.7415 0.0000
3.3157 5.7415 0.0000
-2.2100 0.0000 7.0126
Tb Te C N
6 3 2 1
Direct
0.1045 0.4375 0.8124 Tb
0.2294 0.2294 0.1883 Tb
0.4375 0.1045 0.8124 Tb
0.5625 0.8955 0.1876 Tb
0.7706 0.7706 0.8117 Tb
0.8955 0.5625 0.1876 Tb
0.0000 0.0000 0.5000 Te
0.3328 0.6672 0.5000 Te
0.6672 0.3328 0.5000 Te
0.1667 0.8333 0.0000 C
0.8333 0.1667 0.0000 C
0.5000 0.5000 0.0000 N
```

Values from the calculation:
raw formation energy	-1049	meV/atom
M_tot	0.000	μB/f.u.
volume	22.2	Å³/atom
space-group type	C2/m (12)

No. 4
A plane-wave DFT calculation with PBE was carried out for crystalline K3Hg5As2 at its relaxed geometry.

Cell and atoms, written as POSCAR:
```
K3Hg5As2
1.0
-5.6587 7.9157 3.5654
5.6587 -7.9157 3.5654
5.6587 7.9157 -3.5654
K Hg As
6 10 4
Direct
0.1460 0.7185 0.8645 K
0.2500 0.2500 0.0000 K
0.3540 0.2185 0.5725 K
0.6460 0.7815 0.4275 K
0.7500 0.7500 0.0000 K
0.8540 0.2815 0.1355 K
0.0280 0.2500 0.7780 Hg
0.1410 0.3921 0.5331 Hg
0.2500 0.7500 0.5000 Hg
0.3590 0.8921 0.2510 Hg
0.4720 0.2500 0.2220 Hg
0.5280 0.7500 0.7780 Hg
0.6410 0.1079 0.7490 Hg
0.7500 0.2500 0.5000 Hg
0.8590 0.6079 0.4669 Hg
0.9720 0.7500 0.2220 Hg
0.1438 0.1476 0.2914 As
0.3562 0.6476 0.0038 As
0.6438 0.3524 0.9962 As
0.8562 0.8524 0.7086 As
```

Values from the calculation:
M_tot	0.000	μB/f.u.
volume	31.9	Å³/atom
VASP energy	-1.639	eV per atom
space-group type	Ibam (72)

No. 5
A plane-wave DFT calculation with PBE was carried out for crystalline CuRhSe2 at its relaxed geometry.

Cell and atoms, written as POSCAR:
```
CuRhSe2
1.0
3.7604 0.0000 0.0000
-1.8802 3.2566 0.0000
0.0000 0.0000 6.2923
Cu Rh Se
1 1 2
Direct
0.0000 0.0000 0.0000 Cu
0.6667 0.3333 0.4352 Rh
0.0000 0.0000 0.6281 Se
0.3333 0.6667 0.2012 Se
```

Values from the calculation:
raw formation energy	-196	meV/atom
M_tot	0.000	μB/f.u.
volume	19.3	Å³/atom
space-group type	P3m1 (156)

No. 6
A plane-wave DFT calculation with PBE was carried out for crystalline ReAg3Pb at its relaxed geometry.

Cell and atoms, written as POSCAR:
```
ReAg3Pb
1.0
5.1084 0.0000 0.0000
0.0000 5.1084 0.0000
0.0000 0.0000 5.1084
Re Ag Pb
1 3 1
Direct
0.0000 0.0000 0.0000 Re
0.0000 0.0000 0.5000 Ag
0.0000 0.5000 0.0000 Ag
0.5000 0.0000 0.0000 Ag
0.5000 0.5000 0.5000 Pb
```

Values from the calculation:
M_tot	1.945	μB/f.u.
volume	26.7	Å³/atom
space-group type	Pm-3m (221)
relative energy among the computed polymorphs	0.0000	eV/atom